# LiCrF3 (PBE+U, optimized geometry)
data_LiCrF3
_chemical_formula_sum 'Li1 Cr1 F3'
_cell_length_a 4.127
_cell_length_b 4.127
_cell_length_c 4.127
_cell_angle_alpha 90.00
_cell_angle_beta 90.00
_cell_angle_gamma 90.00
_symmetry_space_group_name_H-M 'P m -3 m'
_symmetry_Int_Tables_number 221
_symmetry_space_group_name_Hall '-P 4 2 3'
loop_
_atom_site_label
_atom_site_fract_x
_atom_site_fract_y
_atom_site_fract_z
_atom_site_occupancy
Li1 0.000 0.000 0.000 1
Cr1 0.500 0.500 0.500 1
F1 0.000 0.500 0.500 1
# - total energy (eV/atom) = -5.3675
# - theoretical density (g cm⁻³) = 2.74
# - energy relative to the lowest polymorph listed for this composition (meV/atom) = 324